[1]
SrYS2 | PBE | relaxed

a b c (Å): 6.4602 6.4602 7.7778
angles (deg): 65.46 65.46 90.00
Each line ends with the local moment (μB).
Atoms (fractional coordinates):
S1 0.8750 0.9066 0.7500  -0.01
Y1 0.7500 0.2500 0.5000  0.25
Sr1 0.2500 0.7500 0.5000  0.07
S2 0.0934 0.6250 0.2500  -0.01
S3 0.6566 0.1250 0.2500  -0.01
Y2 0.0000 0.0000 0.0000  0.25
Sr2 0.5000 0.5000 0.0000  0.07
S4 0.3750 0.3434 0.7500  -0.01

Energy above the lowest structure with this stoichiometry, eV per formula unit: 1.43
M_tot, μB per formula unit: 0.99

***

[2]
Ni2HgS2 | PBE | relaxed

a b c (Å): 4.2171 4.2171 7.2281
angles (deg): 73.04 73.04 90.00
Atoms (fractional coordinates):
S1 0.2500 0.7500 0.5000
S2 0.7500 0.2500 0.5000
Ni1 0.6966 0.6966 0.6067
Ni2 0.3034 0.3034 0.3933
Hg1 0.0000 0.0000 0.0000

Energy above the lowest structure with this stoichiometry, eV per formula unit: 1.12
M_tot, μB per formula unit: 0.00

***

[3]
MgV2H2 | PBE | relaxed

a b c (Å): 3.3808 3.3808 5.1914
angles (deg): 71.00 71.00 90.00
Atoms (fractional coordinates):
V1 0.3152 0.3152 0.3695
Mg1 0.0000 0.0000 0.0000
H1 0.2500 0.7500 0.5000
H2 0.7500 0.2500 0.5000
V2 0.6848 0.6848 0.6305

Energy above the lowest structure with this stoichiometry, eV per formula unit: 0.00
M_tot, μB per formula unit: 0.00